Entry 1:
First-principles (GGA-PBE) data for a relaxed structure of Li3YPu2Te6, as listed in the Alexandria database.

Cell: 7.590 7.590 7.463 Å, 99.75 99.75 119.99°
Fractional coordinates of all 12 atoms:
Li (0.000, 0.000, 0.000)
Li (0.334, 0.666, 0.000)
Li (0.666, 0.334, 0.000)
Y (0.500, 0.500, 0.500)
Pu (0.167, 0.833, 0.500)
Pu (0.833, 0.167, 0.500)
Te (0.083, 0.414, 0.243)
Te (0.255, 0.255, 0.757)
Te (0.414, 0.083, 0.243)
Te (0.586, 0.917, 0.757)
Te (0.745, 0.745, 0.243)
Te (0.917, 0.586, 0.757)

Magnetization: 10.0 μB/f.u.
Formation energy without anion corrections: -1104 meV per atom
Symmetry: C2/m (12)


Entry 2:
First-principles (GGA-PBE) data for a relaxed structure of Pm12Sn5Pb2, as listed in the Alexandria database.

Cell: 9.625 9.625 10.446 Å, 102.23 102.23 44.18°
Fractional coordinates of all 19 atoms:
Pm (0.013, 0.013, 0.258)
Pm (0.063, 0.579, 0.907)
Pm (0.090, 0.618, 0.448)
Pm (0.382, 0.910, 0.552)
Pm (0.404, 0.404, 0.197)
Pm (0.421, 0.937, 0.093)
Pm (0.579, 0.063, 0.907)
Pm (0.596, 0.596, 0.803)
Pm (0.618, 0.090, 0.448)
Pm (0.910, 0.382, 0.552)
Pm (0.937, 0.421, 0.093)
Pm (0.987, 0.987, 0.742)
Sn (0.168, 0.168, 0.818)
Sn (0.209, 0.209, 0.346)
Sn (0.500, 0.500, 0.500)
Sn (0.791, 0.791, 0.654)
Sn (0.832, 0.832, 0.182)
Pb (0.274, 0.726, 0.000)
Pb (0.726, 0.274, 0.000)

Magnetization: 0.2 μB/f.u.
DFT formation energy: -669 kJ/mol of formula units
Symmetry: C2/m (12)


Entry 3:
First-principles (GGA-PBE) data for a relaxed structure of Y3P4Rh7, as listed in the Alexandria database.

Cell: 7.746 7.746 9.177 Å, 123.22 123.22 29.56°
Fractional coordinates of all 14 atoms:
Y (0.000, 0.000, 0.000)
Y (0.329, 0.329, 0.331)
Y (0.671, 0.671, 0.669)
P (0.109, 0.109, 0.827)
P (0.333, 0.333, 0.725)
P (0.667, 0.667, 0.275)
P (0.891, 0.891, 0.173)
Rh (0.000, 0.000, 0.500)
Rh (0.168, 0.168, 0.420)
Rh (0.302, 0.302, 0.953)
Rh (0.494, 0.494, 0.730)
Rh (0.506, 0.506, 0.270)
Rh (0.698, 0.698, 0.047)
Rh (0.832, 0.832, 0.580)

Magnetization: 0.0 μB/f.u.
DFT formation energy: -1451 kJ/mol of formula units
Symmetry: C2/m (12)


Entry 4:
First-principles (GGA-PBE) data for a relaxed structure of KBaY, as listed in the Alexandria database.

Cell: 10.167 10.167 10.167 Å, 157.62 157.62 31.86°
Fractional coordinates of all 3 atoms:
K (0.000, 0.000, 0.000)
Ba (0.695, 0.695, 0.000)
Y (0.336, 0.336, 0.000)

Magnetization: 1.2 μB/f.u.
E above lowest polymorph: 0.063 eV per formula unit
DFT formation energy: 100 kJ/mol of formula units
Symmetry: I4mm (107)


Entry 5:
First-principles (GGA-PBE) data for a relaxed structure of LaCd2AsPt2, as listed in the Alexandria database.

Cell: 6.558 6.558 6.558 Å, 132.20 132.20 69.92°
Fractional coordinates of all 6 atoms:
La (0.000, 0.000, 0.000)
Cd (0.250, 0.750, 0.500)
Cd (0.750, 0.250, 0.500)
As (0.500, 0.500, 0.000)
Pt (0.274, 0.274, 0.000)
Pt (0.726, 0.726, 0.000)

Magnetization: 0.0 μB/f.u.
DFT formation energy: -215 kJ/mol of formula units
Symmetry: I4/mmm (139)


Entry 6:
First-principles (GGA-PBE) data for a relaxed structure of CsGaSn3, as listed in the Alexandria database.

Cell: 5.618 5.618 5.618 Å, 90.00 90.00 90.00°
Fractional coordinates of all 5 atoms:
Cs (0.000, 0.000, 0.000)
Ga (0.500, 0.500, 0.500)
Sn (0.000, 0.500, 0.500)
Sn (0.500, 0.000, 0.500)
Sn (0.500, 0.500, 0.000)

Magnetization: 0.0 μB/f.u.
E above lowest polymorph: 1.569 eV per formula unit
DFT formation energy: 86 kJ/mol of formula units
Symmetry: Pm-3m (221)


Entry 7:
First-principles (GGA-PBE) data for a relaxed structure of LuCdHg2, as listed in the Alexandria database.

Cell: 3.650 3.650 7.074 Å, 90.00 90.00 90.00°
Fractional coordinates of all 4 atoms:
Lu (0.000, 0.000, 0.000)
Cd (0.000, 0.000, 0.500)
Hg (0.500, 0.500, 0.249)
Hg (0.500, 0.500, 0.751)

Magnetization: 0.0 μB/f.u.
E above lowest polymorph: 0.236 eV per formula unit
DFT formation energy: -93 kJ/mol of formula units
Symmetry: P4/mmm (123)


Entry 8:
First-principles (GGA-PBE) data for a relaxed structure of Cs2In10Pb, as listed in the Alexandria database.

Cell: 9.236 16.131 7.054 Å, 90.00 90.00 90.00°
Fractional coordinates of all 26 atoms:
Cs (0.207, 0.167, 0.000)
Cs (0.293, 0.667, 0.000)
Cs (0.707, 0.333, 0.000)
Cs (0.793, 0.833, 0.000)
In (0.075, 0.336, 0.500)
In (0.098, 0.811, 0.500)
In (0.160, 0.542, 0.500)
In (0.241, 0.921, 0.202)
In (0.241, 0.921, 0.798)
In (0.259, 0.421, 0.202)
In (0.259, 0.421, 0.798)
In (0.340, 0.042, 0.500)
In (0.402, 0.311, 0.500)
In (0.425, 0.836, 0.500)
In (0.575, 0.164, 0.500)
In (0.598, 0.689, 0.500)
In (0.660, 0.958, 0.500)
In (0.741, 0.579, 0.202)
In (0.741, 0.579, 0.798)
In (0.759, 0.079, 0.202)
In (0.759, 0.079, 0.798)
In (0.840, 0.458, 0.500)
In (0.902, 0.189, 0.500)
In (0.925, 0.664, 0.500)
Pb (0.000, 0.000, 0.500)
Pb (0.500, 0.500, 0.500)

Magnetization: 0.0 μB/f.u.
DFT formation energy: 18 kJ/mol of formula units
Symmetry: Pbam (55)


Entry 9:
First-principles (GGA-PBE) data for a relaxed structure of RbHg2BP, as listed in the Alexandria database.

Cell: 6.751 6.751 3.480 Å, 90.00 90.00 90.00°
Fractional coordinates of all 5 atoms:
Rb (0.000, 0.000, 0.000)
Hg (0.000, 0.500, 0.500)
Hg (0.500, 0.000, 0.500)
B (0.500, 0.500, 0.500)
P (0.500, 0.500, 0.000)

Magnetization: 0.0 μB/f.u.
DFT formation energy: 175 kJ/mol of formula units
Symmetry: P4/mmm (123)


Entry 10:
First-principles (GGA-PBE) data for a relaxed structure of LiErScRe, as listed in the Alexandria database.

Cell: 4.771 4.771 4.771 Å, 60.00 60.00 60.00°
Fractional coordinates of all 4 atoms:
Li (0.000, 0.000, 0.000)
Er (0.250, 0.250, 0.250)
Sc (0.750, 0.750, 0.750)
Re (0.500, 0.500, 0.500)

Magnetization: 0.0 μB/f.u.
DFT formation energy: 7 kJ/mol of formula units
Symmetry: F-43m (216)


Entry 11:
First-principles (GGA-PBE) data for a relaxed structure of PaGe2Ru, as listed in the Alexandria database.

Cell: 9.387 9.387 9.387 Å, 153.60 123.16 63.72°
Fractional coordinates of all 16 atoms:
Pa (0.209, 0.209, 0.000)
Pa (0.237, 0.000, 0.237)
Pa (0.763, 0.000, 0.763)
Pa (0.791, 0.791, 0.000)
Ge (0.077, 0.577, 0.500)
Ge (0.147, 0.802, 0.344)
Ge (0.423, 0.423, 0.000)
Ge (0.458, 0.802, 0.656)
Ge (0.542, 0.198, 0.344)
Ge (0.577, 0.577, 0.000)
Ge (0.853, 0.198, 0.656)
Ge (0.923, 0.423, 0.500)
Ru (0.107, 0.357, 0.749)
Ru (0.392, 0.643, 0.749)
Ru (0.608, 0.357, 0.251)
Ru (0.893, 0.643, 0.251)

Magnetization: 0.0 μB/f.u.
DFT formation energy: -211 kJ/mol of formula units
Symmetry: Immm (71)


Entry 12:
First-principles (GGA-PBE) data for a relaxed structure of DyPuBe4, as listed in the Alexandria database.

Cell: 4.979 4.979 4.979 Å, 60.00 60.00 60.00°
Fractional coordinates of all 6 atoms:
Dy (0.000, 0.000, 0.000)
Pu (0.250, 0.250, 0.250)
Be (0.119, 0.627, 0.627)
Be (0.627, 0.119, 0.627)
Be (0.627, 0.627, 0.119)
Be (0.627, 0.627, 0.627)

Magnetization: 4.9 μB/f.u.
DFT formation energy: 87 kJ/mol of formula units
Symmetry: F-43m (216)


Entry 13:
First-principles (GGA-PBE) data for a relaxed structure of LiPaInSe3, as listed in the Alexandria database.

Cell: 9.093 4.179 9.299 Å, 90.00 104.67 90.00°
Fractional coordinates of all 12 atoms:
Li (0.076, 0.250, 0.096)
Li (0.924, 0.750, 0.904)
Pa (0.329, 0.750, 0.343)
Pa (0.671, 0.250, 0.657)
In (0.196, 0.250, 0.746)
In (0.804, 0.750, 0.254)
Se (0.127, 0.250, 0.380)
Se (0.209, 0.750, 0.036)
Se (0.452, 0.750, 0.663)
Se (0.548, 0.250, 0.337)
Se (0.791, 0.250, 0.964)
Se (0.873, 0.750, 0.620)

Magnetization: 1.0 μB/f.u.
Formation energy without anion corrections: -1046 meV per atom
Symmetry: P2_1/m (11)


Entry 14:
First-principles (GGA-PBE) data for a relaxed structure of SrSbCl2, as listed in the Alexandria database.

Cell: 5.898 5.898 5.007 Å, 114.66 114.66 105.10°
Fractional coordinates of all 4 atoms:
Sr (0.000, 0.000, 0.000)
Sb (0.500, 0.500, 0.000)
Cl (0.000, 0.500, 0.500)
Cl (0.500, 0.000, 0.500)

Magnetization: 0.0 μB/f.u.
E above lowest polymorph: 0.664 eV per formula unit
Formation energy without anion corrections: -1166 meV per atom
Symmetry: C2/m (12)


Entry 15:
First-principles (GGA-PBE) data for a relaxed structure of La3InAs, as listed in the Alexandria database.

Cell: 7.241 4.578 9.612 Å, 90.00 102.35 90.00°
Fractional coordinates of all 10 atoms:
La (0.027, 0.250, 0.184)
La (0.368, 0.750, 0.432)
La (0.451, 0.750, 0.835)
La (0.549, 0.250, 0.165)
La (0.632, 0.250, 0.568)
La (0.973, 0.750, 0.816)
In (0.134, 0.250, 0.589)
In (0.866, 0.750, 0.411)
As (0.266, 0.750, 0.103)
As (0.734, 0.250, 0.897)

Magnetization: 0.0 μB/f.u.
E above lowest polymorph: 0.000 eV per formula unit
DFT formation energy: -357 kJ/mol of formula units
Symmetry: P2_1/m (11)


Entry 16:
First-principles (GGA-PBE) data for a relaxed structure of Tb4Er3Tm5, as listed in the Alexandria database.

Cell: 8.432 8.432 9.185 Å, 114.82 114.82 40.32°
Fractional coordinates of all 12 atoms:
Tb (0.082, 0.082, 0.442)
Tb (0.214, 0.214, 0.880)
Tb (0.786, 0.786, 0.120)
Tb (0.918, 0.918, 0.558)
Er (0.211, 0.211, 0.235)
Er (0.500, 0.500, 0.000)
Er (0.789, 0.789, 0.765)
Tm (0.000, 0.000, 0.000)
Tm (0.328, 0.328, 0.616)
Tm (0.428, 0.428, 0.299)
Tm (0.572, 0.572, 0.701)
Tm (0.672, 0.672, 0.384)

Magnetization: 0.6 μB/f.u.
E above lowest polymorph: 2.717 eV per formula unit
DFT formation energy: 287 kJ/mol of formula units
Symmetry: C2/m (12)


Entry 17:
First-principles (GGA-PBE) data for a relaxed structure of Zr8Al2Tl, as listed in the Alexandria database.

Cell: 7.767 7.767 5.174 Å, 102.59 102.59 118.41°
Fractional coordinates of all 11 atoms:
Zr (0.085, 0.323, 0.635)
Zr (0.225, 0.775, 0.000)
Zr (0.323, 0.085, 0.635)
Zr (0.415, 0.415, 0.208)
Zr (0.585, 0.585, 0.792)
Zr (0.677, 0.915, 0.365)
Zr (0.775, 0.225, 0.000)
Zr (0.915, 0.677, 0.365)
Al (0.307, 0.693, 0.500)
Al (0.693, 0.307, 0.500)
Tl (0.000, 0.000, 0.000)

Magnetization: 0.0 μB/f.u.
DFT formation energy: -50 kJ/mol of formula units
Symmetry: C2/m (12)


Entry 18:
First-principles (GGA-PBE) data for a relaxed structure of Sr2SbPt, as listed in the Alexandria database.

Cell: 5.331 5.331 5.331 Å, 60.00 60.00 60.00°
Fractional coordinates of all 4 atoms:
Sr (0.000, 0.000, 0.000)
Sr (0.250, 0.250, 0.250)
Sb (0.750, 0.750, 0.750)
Pt (0.500, 0.500, 0.500)

Magnetization: 0.0 μB/f.u.
Formation energy without anion corrections: -441 meV per atom
Symmetry: F-43m (216)


Entry 19:
First-principles (GGA-PBE) data for a relaxed structure of TaRe2HOs, as listed in the Alexandria database.

Cell: 3.971 3.971 4.065 Å, 90.00 90.00 90.00°
Fractional coordinates of all 5 atoms:
Ta (0.000, 0.000, 0.000)
Re (0.000, 0.500, 0.500)
Re (0.500, 0.000, 0.500)
H (0.000, 0.000, 0.500)
Os (0.500, 0.500, 0.000)

Magnetization: 0.0 μB/f.u.
E above lowest polymorph: 0.000 eV per formula unit
Symmetry: P4/mmm (123)


Entry 20:
First-principles (GGA-PBE) data for a relaxed structure of KMg2AlIr, as listed in the Alexandria database.

Cell: 5.163 5.163 4.796 Å, 90.00 90.00 90.00°
Fractional coordinates of all 5 atoms:
K (0.000, 0.000, 0.000)
Mg (0.000, 0.500, 0.500)
Mg (0.500, 0.000, 0.500)
Al (0.500, 0.500, 0.000)
Ir (0.500, 0.500, 0.500)

Magnetization: 0.0 μB/f.u.
DFT formation energy: -119 kJ/mol of formula units
Symmetry: P4/mmm (123)


Entry 21:
First-principles (GGA-PBE) data for a relaxed structure of Ba2AlHgH, as listed in the Alexandria database.

Cell: 5.806 5.806 4.265 Å, 90.00 90.00 90.00°
Fractional coordinates of all 5 atoms:
Ba (0.000, 0.500, 0.000)
Ba (0.500, 0.000, 0.000)
Al (0.000, 0.000, 0.500)
Hg (0.500, 0.500, 0.500)
H (0.000, 0.000, 0.000)

E_tot: -12.6 eV per cell
Magnetization: 0.0 μB/f.u.
Symmetry: P4/mmm (123)


Entry 22:
First-principles (GGA-PBE) data for a relaxed structure of HfPd2PbCl, as listed in the Alexandria database.

Cell: 4.874 4.874 6.123 Å, 90.00 90.00 90.00°
Fractional coordinates of all 5 atoms:
Hf (0.000, 0.000, 0.000)
Pd (0.000, 0.500, 0.000)
Pd (0.500, 0.000, 0.000)
Pb (0.000, 0.000, 0.500)
Cl (0.500, 0.500, 0.500)

Magnetization: 0.0 μB/f.u.
E above lowest polymorph: 0.000 eV per formula unit
Formation energy without anion corrections: 484 meV per atom
Symmetry: P4/mmm (123)